Entry 1:
DFT (PBE-GGA) results for a geometry-optimized CuAgS structure.

a = 3.8280 Å, b = 4.7676 Å, c = 9.1924 Å
α = 131.89°, β = 90.00°, γ = 113.67°
Fractional positions:
Cu: 0.3900 0.7800 0.0732
Cu: 0.6100 0.2200 0.9268
S: 0.0249 0.0498 0.7173
S: 0.9751 0.9502 0.2827
Ag: 0.2291 0.4581 0.2423
Ag: 0.7709 0.5419 0.7577

Results
* formation energy from raw total energies: 0.002 eV/atom
* energy: -0.1356 Ha/atom
* N(E_F): 0.324 states/eV/f.u.


Entry 2:
DFT (PBE-GGA) results for a geometry-optimized Cu3AgS2 structure.

a = 3.8630 Å, b = 7.5722 Å, c = 8.5413 Å
α = 124.11°, β = 90.00°, γ = 104.78°
Fractional positions:
Cu: 0.9563 0.9126 0.6163
Cu: 0.6111 0.2222 0.6555
Cu: 0.0437 0.0874 0.3837
Cu: 0.3889 0.7778 0.3445
Cu: 0.3379 0.6759 0.6252
Cu: 0.6621 0.3241 0.3748
S: 0.5307 0.0615 0.8155
S: 0.7913 0.5827 0.3157
S: 0.2087 0.4173 0.6843
S: 0.4693 0.9385 0.1845
Ag: 0.8766 0.7532 0.9013
Ag: 0.1234 0.2468 0.0987

Results
* formation energy from raw total energies: -0.069 eV/atom
* energy above the lowest structure with this stoichiometry: 0.046 eV/f.u.
* energy: -0.1458 Ha/atom
* N(E_F): 0.329 states/eV/f.u.


Entry 3:
DFT (PBE-GGA) results for a geometry-optimized CuAgS structure.

a = 3.9118 Å, b = 3.9118 Å, c = 3.8722 Å
α = 90.00°, β = 90.00°, γ = 120.00°
Fractional positions:
S: 0.3333 0.6667 0.4998
Cu: 0.6667 0.3333 0.5004
Ag: 0.0000 0.0000 0.9999

Results
* formation energy from raw total energies: -0.016 eV/atom
* energy: -0.1363 Ha/atom
* N(E_F): 0.257 states/eV/f.u.


Entry 4:
DFT (PBE-GGA) results for a geometry-optimized CuAgS structure.

a = 4.0873 Å, b = 3.8102 Å, c = 3.8510 Å
α = 90.00°, β = 90.00°, γ = 91.08°
Fractional positions:
S: 0.5000 0.0000 0.3023
Cu: 0.0000 0.0000 0.4774
Ag: 0.5000 0.5000 0.8083

Results
* formation energy from raw total energies: 0.059 eV/atom
* energy: -0.1335 Ha/atom
* N(E_F): 0.452 states/eV/f.u.


Entry 5:
DFT (PBE-GGA) results for a geometry-optimized CuAgS structure.

a = 3.3145 Å, b = 3.3145 Å, c = 5.0512 Å
α = 109.15°, β = 109.15°, γ = 90.00°
Fractional positions:
Ag: 0.9961 0.9961 0.9922
Cu: 0.2935 0.2935 0.5869
S: 0.7104 0.7104 0.4209

Results
* formation energy from raw total energies: 0.146 eV/atom
* energy: -0.1303 Ha/atom
* N(E_F): 0.722 states/eV/f.u.


Entry 6:
DFT (PBE-GGA) results for a geometry-optimized CuAg2S2 structure.

a = 6.5722 Å, b = 6.5722 Å, c = 4.1061 Å
α = 90.00°, β = 90.00°, γ = 90.00°
Fractional positions:
Cu: 0.0000 0.0000 0.0000
Cu: 0.5000 0.5000 0.0000
S: 0.6762 0.1762 0.0000
S: 0.1762 0.3238 0.0000
S: 0.8238 0.6762 0.0000
S: 0.3238 0.8238 0.0000
Ag: 0.3468 0.1532 0.5000
Ag: 0.6532 0.8468 0.5000
Ag: 0.8468 0.3468 0.5000
Ag: 0.1532 0.6532 0.5000

Results
* formation energy from raw total energies: 0.112 eV/atom
* energy above the lowest structure with this stoichiometry: 0.742 eV/f.u.
* energy: -0.1286 Ha/atom
* N(E_F): 2.506 states/eV/f.u.


Entry 7:
DFT (PBE-GGA) results for a geometry-optimized CuAg2S2 structure.

a = 3.4278 Å, b = 4.4739 Å, c = 7.2365 Å
α = 108.01°, β = 103.70°, γ = 90.00°
Fractional positions:
S: 0.3855 0.8855 0.7711
S: 0.6145 0.1145 0.2289
Ag: 0.2991 0.2991 0.5982
Ag: 0.7009 0.7009 0.4018
Cu: 0.0000 0.0000 0.0000

Results
* formation energy from raw total energies: -0.037 eV/atom
* energy above the lowest structure with this stoichiometry: 0.000 eV/f.u.
* energy: -0.1340 Ha/atom
* N(E_F): 2.083 states/eV/f.u.


Entry 8:
DFT (PBE-GGA) results for a geometry-optimized Cu3Ag5S3 structure.

a = 3.9814 Å, b = 9.3332 Å, c = 7.6455 Å
α = 127.58°, β = 103.21°, γ = 67.75°
Fractional positions:
Cu: 0.0317 0.9358 0.2279
Cu: 0.0723 0.3087 0.0000
Cu: 0.0339 0.7082 0.7732
S: 0.6690 0.2049 0.9988
S: 0.4598 0.7272 0.6433
S: 0.4562 0.0849 0.3569
Ag: 0.4762 0.9707 0.5914
Ag: 0.6705 0.6755 0.0007
Ag: 0.4752 0.3791 0.4068
Ag: 0.3289 0.3848 0.7649
Ag: 0.3262 0.6203 0.2360

Results
* formation energy from raw total energies: 0.015 eV/atom
* energy: -0.1295 Ha/atom
* N(E_F): 1.832 states/eV/f.u.